Entry 1:
Here is crystalline CaMn2O4 at its relaxed geometry from the Alexandria database. Energies are from GGA+U.

energy above the lowest structure with this stoichiometry = 37 meV/atom
space group = Fddd, No. 70

Lattice parameters (Å, degrees): 6.4069 6.4068 5.8269 110.34 110.34 111.57
Atoms (fractional coordinates):
Ca: 0.0002 0.0001 0.0000
Ca: 0.2502 0.7501 0.5000
O: 0.8364 0.6225 0.1756
O: 0.9108 0.1969 0.3244
O: 0.4469 0.6607 0.8244
O: 0.8029 0.0890 0.6753
O: 0.3777 0.1637 0.8247
O: 0.4137 0.1276 0.3247
O: 0.3391 0.5529 0.1753
O: 0.8726 0.5863 0.6756
Mn: 0.6249 0.3751 0.7501
Mn: 0.6249 0.8749 0.2499
Mn: 0.1248 0.3750 0.7499
Mn: 0.6251 0.3751 0.2501


Entry 2:
Here is crystalline Ca3Mn2O6 at its relaxed geometry from the Alexandria database. Energies are from GGA+U.

energy = -75.92 eV for the cell shown
space group = I4/mmm, No. 139

Lattice parameters (Å, degrees): 3.8024 3.8024 10.1235 100.82 100.82 90.00
Atoms (fractional coordinates):
Mn: 0.5969 0.5969 0.1938
Mn: 0.4031 0.4031 0.8062
O: 0.7001 0.7001 0.4002
O: 0.5799 0.0799 0.1597
O: 0.2999 0.2999 0.5998
O: 0.9201 0.4201 0.8403
O: 0.4201 0.9201 0.8403
O: 0.0799 0.5799 0.1597
Ca: 0.8141 0.8141 0.6283
Ca: 0.1859 0.1859 0.3717
Ca: 0.0000 0.0000 0.0000


Entry 3:
Here is crystalline Ca3Mn2O7 at its relaxed geometry from the Alexandria database. Energies are from GGA+U.

energy above the lowest structure with this stoichiometry = 0 meV/atom
space group = Cmc2_1, No. 36

Lattice parameters (Å, degrees): 5.3843 5.3404 10.0935 74.65 90.00 90.00
Atoms (fractional coordinates):
Ca: 0.7122 0.0559 0.3745
Ca: 0.2121 0.9441 0.6255
Ca: 0.2938 0.7563 0.0000
Ca: 0.2121 0.5695 0.3744
Ca: 0.7938 0.2437 0.0000
Ca: 0.7121 0.4305 0.6256
O: 0.2613 0.3921 0.6079
O: 0.5422 0.1261 0.8332
O: 0.4603 0.6537 0.7758
O: 0.0422 0.8739 0.1668
O: 0.2610 0.9997 0.3922
O: 0.0421 0.0412 0.8331
O: 0.7613 0.6079 0.3921
O: 0.5421 0.9588 0.1669
O: 0.2334 0.3238 0.0000
O: 0.7334 0.6762 0.0000
O: 0.9604 0.5711 0.7756
O: 0.9603 0.3463 0.2242
O: 0.7610 0.0003 0.6078
O: 0.4604 0.4289 0.2244
Mn: 0.2507 0.1519 0.1967
Mn: 0.2507 0.3489 0.8033
Mn: 0.7507 0.8481 0.8033
Mn: 0.7507 0.6511 0.1967


Entry 4:
Here is crystalline CaMn2O4 at its relaxed geometry from the Alexandria database. Energies are from GGA+U.

energy above the lowest structure with this stoichiometry = 0 meV/atom
space group = Pbcm, No. 57

Lattice parameters (Å, degrees): 3.1982 9.8310 10.1896 90.00 90.00 90.00
Atoms (fractional coordinates):
O: 0.2032 0.1087 0.4731
O: 0.1887 0.7500 0.3120
O: 0.4051 0.5000 0.7500
O: 0.5949 0.0000 0.2500
O: 0.7968 0.3913 0.9731
O: 0.5949 0.5000 0.2500
O: 0.4051 0.0000 0.7500
O: 0.2032 0.3913 0.4731
O: 0.2032 0.8913 0.0269
O: 0.1887 0.2500 0.1880
O: 0.7968 0.8913 0.5269
O: 0.7968 0.1087 0.9731
O: 0.2032 0.6087 0.0269
O: 0.8113 0.7500 0.8120
O: 0.7968 0.6087 0.5269
O: 0.8113 0.2500 0.6880
Ca: 0.3174 0.2500 0.8515
Ca: 0.6826 0.2500 0.3515
Ca: 0.3174 0.7500 0.6485
Ca: 0.6826 0.7500 0.1485
Mn: 0.7924 0.9308 0.8883
Mn: 0.7924 0.0692 0.6117
Mn: 0.2076 0.5692 0.3883
Mn: 0.2076 0.0692 0.1117
Mn: 0.2076 0.4308 0.1117
Mn: 0.2076 0.9308 0.3883
Mn: 0.7924 0.4308 0.6117
Mn: 0.7924 0.5692 0.8883